Entry 1:
# YC3 (PBE, optimized geometry)
data_YC3
_chemical_formula_sum 'Y2 C6'
_cell_length_a 4.813
_cell_length_b 4.813
_cell_length_c 5.355
_cell_angle_alpha 90.00
_cell_angle_beta 90.00
_cell_angle_gamma 120.00
_space_group_name_H-M_alt 'P 1'
_space_group_IT_number 1
loop_
_space_group_symop_operation_xyz
'x,y,z'
loop_
_atom_site_label
_atom_site_type_symbol
_atom_site_fract_x
_atom_site_fract_y
_atom_site_fract_z
Y1 Y 0.333 0.667 0.250
Y2 Y 0.667 0.333 0.750
C1 C 0.099 0.199 0.750
C2 C 0.099 0.901 0.750
C3 C 0.199 0.099 0.250
C4 C 0.801 0.901 0.750
C5 C 0.901 0.099 0.250
C6 C 0.901 0.801 0.250
# energy relative to the elements: 731 meV per atom


Entry 2:
A plane-wave DFT calculation with PBE was carried out for GeAs2H2 after structural relaxation.

The structure in CIF format:
```
data_GeAs2H2
_chemical_formula_sum 'Ge2 As4 H4'
_cell_length_a 6.649
_cell_length_b 6.649
_cell_length_c 3.051
_cell_angle_alpha 90.00
_cell_angle_beta 90.00
_cell_angle_gamma 90.00
_space_group_name_H-M_alt 'P 1'
_space_group_IT_number 1
loop_
_space_group_symop_operation_xyz
'x,y,z'
loop_
_atom_site_label
_atom_site_type_symbol
_atom_site_fract_x
_atom_site_fract_y
_atom_site_fract_z
Ge1 Ge 0.000 0.000 0.000
Ge2 Ge 0.500 0.500 0.000
As1 As 0.132 0.368 0.500
As2 As 0.368 0.868 0.500
As3 As 0.632 0.132 0.500
As4 As 0.868 0.632 0.500
H1 H 0.112 0.612 0.000
H2 H 0.388 0.112 0.000
H3 H 0.612 0.888 0.000
H4 H 0.888 0.388 0.000
```


Entry 3:
# HfBNF2 (PBE, optimized geometry)
data_HfBNF2
_chemical_formula_sum 'Hf1 B1 N1 F2'
_cell_length_a 4.125
_cell_length_b 4.125
_cell_length_c 4.193
_cell_angle_alpha 90.00
_cell_angle_beta 90.00
_cell_angle_gamma 90.00
_space_group_name_H-M_alt 'P 1'
_space_group_IT_number 1
loop_
_space_group_symop_operation_xyz
'x,y,z'
loop_
_atom_site_label
_atom_site_type_symbol
_atom_site_fract_x
_atom_site_fract_y
_atom_site_fract_z
Hf1 Hf 0.000 0.000 0.000
B1 B 0.500 0.500 0.500
N1 N 0.000 0.000 0.500
F1 F 0.000 0.500 0.000
F2 F 0.500 0.000 0.000
# formation energy without anion corrections: -439 kJ/mol of formula units


Entry 4:
# Sm7CI12 (PBE, optimized geometry)
data_Sm7CI12
_chemical_formula_sum 'Sm7 C1 I12'
_cell_length_a 9.745
_cell_length_b 9.745
_cell_length_c 9.745
_cell_angle_alpha 107.84
_cell_angle_beta 107.84
_cell_angle_gamma 107.84
_space_group_name_H-M_alt 'P 1'
_space_group_IT_number 1
loop_
_space_group_symop_operation_xyz
'x,y,z'
loop_
_atom_site_label
_atom_site_type_symbol
_atom_site_fract_x
_atom_site_fract_y
_atom_site_fract_z
Sm1 Sm 0.000 0.000 0.000
Sm2 Sm 0.210 0.468 0.402
Sm3 Sm 0.402 0.210 0.468
Sm4 Sm 0.468 0.402 0.210
Sm5 Sm 0.532 0.598 0.790
Sm6 Sm 0.598 0.790 0.532
Sm7 Sm 0.790 0.532 0.598
C1 C 0.500 0.500 0.500
I1 I 0.031 0.112 0.350
I2 I 0.112 0.350 0.031
I3 I 0.188 0.578 0.727
I4 I 0.273 0.812 0.422
I5 I 0.350 0.031 0.112
I6 I 0.422 0.273 0.812
I7 I 0.578 0.727 0.188
I8 I 0.650 0.969 0.888
I9 I 0.727 0.188 0.578
I10 I 0.812 0.422 0.273
I11 I 0.888 0.650 0.969
I12 I 0.969 0.888 0.650
# formation energy without anion corrections: -2378 kJ/mol of formula units


What E_tot values result from the calculations? In sequence: -62.4; -34.3; -33.2; -85.5 eV for the cell shown.